No. 1
Entry from Alexandria: crystalline ZrBSbI2 at its relaxed geometry (PBE).

Output
raw formation energy: 0.90 eV/atom
total energy: -18.0 eV per formula unit
density of states at the Fermi level: 4.1 states/eV per cell
polymorph energy (0 for the lowest one): 1.61 kcal/mol of atoms

abc: 5.670 5.670 5.752
angles: 90.00 90.00 90.00
Element x y z (fractional)
Zr1 0.000 0.000 0.000
B1 0.500 0.500 0.500
Sb1 0.000 0.000 0.500
I1 0.000 0.500 0.000
I2 0.500 0.000 0.000

---

No. 2
Entry from Alexandria: crystalline BaSrAgPd at its relaxed geometry (PBE).

Output
total energy: -13.4 eV per formula unit
density of states at the Fermi level: 1.8 states/eV per cell
energy of formation: -428 meV/atom

abc: 4.797 6.395 6.395
angles: 40.76 90.00 90.00
Element x y z (fractional)
Ba1 0.000 0.000 0.000
Sr1 0.500 0.722 0.722
Ag1 0.500 0.422 0.422
Pd1 0.000 0.284 0.284

---

No. 3
Entry from Alexandria: crystalline TlPW2 at its relaxed geometry (PBE).

Output
total energy: -29.9 eV per formula unit
density of states at the Fermi level: 3.4 states/eV per cell
energy of formation: 936 meV/atom
polymorph energy (0 for the lowest one): 15.23 kcal/mol of atoms

abc: 4.543 4.543 3.202
angles: 90.00 90.00 90.00
Element x y z (fractional)
Tl1 0.000 0.000 0.000
P1 0.500 0.500 0.000
W1 0.000 0.500 0.500
W2 0.500 0.000 0.500

---

No. 4
Entry from Alexandria: crystalline BaLaCr2 at its relaxed geometry (PBE).

Output
total energy: -23.7 eV per formula unit
density of states at the Fermi level: 3.4 states/eV per cell
energy of formation: 610 meV/atom
polymorph energy (0 for the lowest one): 1.29 kcal/mol of atoms

abc: 6.109 6.109 5.596
angles: 116.82 116.82 39.33
Element x y z (fractional)
Ba1 0.000 0.000 0.000
La1 0.193 0.193 0.690
Cr1 0.400 0.400 0.399
Cr2 0.781 0.781 0.284

---

No. 5
Entry from Alexandria: crystalline BaTcMo2 at its relaxed geometry (PBE).

Output
total energy: -30.3 eV per formula unit
density of states at the Fermi level: 4.0 states/eV per cell
energy of formation: 910 meV/atom
polymorph energy (0 for the lowest one): 5.01 kcal/mol of atoms

abc: 2.937 2.937 9.926
angles: 90.00 90.00 109.48
Element x y z (fractional)
Ba1 0.000 0.000 0.000
Tc1 0.000 0.000 0.500
Mo1 0.500 0.500 0.303
Mo2 0.500 0.500 0.697

---

No. 6
Entry from Alexandria: crystalline La4Er3TmSe8 at its relaxed geometry (PBE).

Output
raw formation energy: -1.85 eV/atom
total energy: -95.4 eV per formula unit
density of states at the Fermi level: 9.6 states/eV per cell

abc: 8.463 8.463 8.463
angles: 58.19 58.19 58.19
Element x y z (fractional)
La1 0.000 0.000 0.000
La2 0.000 0.500 0.500
La3 0.500 0.000 0.500
La4 0.500 0.500 0.000
Er1 0.000 0.000 0.500
Er2 0.000 0.500 0.000
Er3 0.500 0.000 0.000
Tm1 0.500 0.500 0.500
Se1 0.242 0.242 0.242
Se2 0.243 0.741 0.741
Se3 0.259 0.259 0.757
Se4 0.259 0.757 0.259
Se5 0.741 0.243 0.741
Se6 0.741 0.741 0.243
Se7 0.757 0.259 0.259
Se8 0.758 0.758 0.758

---

No. 7
Entry from Alexandria: crystalline BaY2AgSe4 at its relaxed geometry (PBE).

Output
raw formation energy: -1.56 eV/atom
total energy: -44.1 eV per formula unit
density of states at the Fermi level: 3.3 states/eV per cell

abc: 7.348 7.348 14.528
angles: 90.00 90.00 146.19
Element x y z (fractional)
Ba1 0.129 0.871 0.750
Ba2 0.871 0.129 0.250
Y1 0.376 0.624 0.560
Y2 0.376 0.624 0.940
Y3 0.624 0.376 0.060
Y4 0.624 0.376 0.440
Ag1 0.148 0.852 0.250
Ag2 0.852 0.148 0.750
Se1 0.000 0.000 0.000
Se2 0.000 0.000 0.500
Se3 0.267 0.733 0.108
Se4 0.267 0.733 0.392
Se5 0.456 0.544 0.750
Se6 0.544 0.456 0.250
Se7 0.733 0.267 0.608
Se8 0.733 0.267 0.892

---

No. 8
Entry from Alexandria: crystalline Sb2Te2As at its relaxed geometry (PBE).

Output
raw formation energy: 0.23 eV/atom
total energy: -18.0 eV per formula unit
density of states at the Fermi level: 5.9 states/eV per cell

abc: 8.317 8.317 4.217
angles: 90.00 90.00 90.00
Element x y z (fractional)
Sb1 0.183 0.317 0.000
Sb2 0.317 0.817 0.000
Sb3 0.683 0.183 0.000
Sb4 0.817 0.683 0.000
Te1 0.148 0.648 0.500
Te2 0.352 0.148 0.500
Te3 0.648 0.852 0.500
Te4 0.852 0.352 0.500
As1 0.000 0.000 0.000
As2 0.500 0.500 0.000

---

No. 9
Entry from Alexandria: crystalline LaEuGaSn at its relaxed geometry (PBE).

Output
total energy: -24.6 eV per formula unit
density of states at the Fermi level: 7.7 states/eV per cell
energy of formation: -584 meV/atom

abc: 5.460 5.460 5.460
angles: 60.00 60.00 60.00
Element x y z (fractional)
La1 0.000 0.000 0.000
Eu1 0.500 0.500 0.500
Ga1 0.750 0.750 0.750
Sn1 0.250 0.250 0.250

---

No. 10
Entry from Alexandria: crystalline Rb2AsSeF6 at its relaxed geometry (PBE).

Output
raw formation energy: -1.97 eV/atom
total energy: -41.0 eV per formula unit
density of states at the Fermi level: 6.5 states/eV per cell

abc: 6.497 6.497 6.497
angles: 114.59 114.59 99.65
Element x y z (fractional)
Rb1 0.250 0.750 0.500
Rb2 0.750 0.250 0.500
As1 0.000 0.000 0.000
Se1 0.500 0.500 0.000
F1 0.201 0.201 0.401
F2 0.201 0.799 0.000
F3 0.254 0.254 0.000
F4 0.746 0.746 0.000
F5 0.799 0.201 0.000
F6 0.799 0.799 0.599

---

No. 11
Entry from Alexandria: crystalline Ag5Br6 at its relaxed geometry (PBE).

Output
raw formation energy: -0.30 eV/atom
total energy: -27.6 eV per formula unit
density of states at the Fermi level: 10.0 states/eV per cell

abc: 7.147 7.147 6.973
angles: 98.28 98.28 121.57
Element x y z (fractional)
Ag1 0.000 0.000 0.000
Ag2 0.165 0.835 0.500
Ag3 0.335 0.665 0.000
Ag4 0.665 0.335 0.000
Ag5 0.835 0.165 0.500
Br1 0.071 0.418 0.250
Br2 0.243 0.243 0.761
Br3 0.418 0.071 0.250
Br4 0.582 0.929 0.750
Br5 0.757 0.757 0.239
Br6 0.929 0.582 0.750

---

No. 12
Entry from Alexandria: crystalline KRb2SiAg at its relaxed geometry (PBE).

Output
raw formation energy: 0.53 eV/atom
total energy: -8.6 eV per formula unit
density of states at the Fermi level: 4.4 states/eV per cell

abc: 6.560 6.560 6.307
angles: 90.00 90.00 90.00
Element x y z (fractional)
K1 0.000 0.000 0.000
Rb1 0.000 0.500 0.500
Rb2 0.500 0.000 0.500
Si1 0.500 0.500 0.000
Ag1 0.000 0.000 0.500